1.
{
  "formula": "NbTl2I4Cl2",
  "functional": "PBE",
  "state": "relaxed",
  "sg": "No. 12",
  "raw_formation_energy_mev_per_atom": -739,
  "dos_ef_per_ev_cell": 1.52,
  "cell": [[6.587, -0.430, -0.292], [0.928, 7.500, 0.102], [0.928, 2.849, 6.939]],
  "species": ["Cl", "Cl", "I", "I", "Tl", "I", "Nb", "Tl", "I"],
  "fractional_positions": [[0.240, 0.137, 0.137], [0.760, 0.863, 0.863], [0.289, 0.139, 0.646], [0.711, 0.354, 0.861], [0.296, 0.653, 0.653], [0.289, 0.646, 0.139], [0.500, 0.000, 0.000], [0.704, 0.347, 0.347], [0.711, 0.861, 0.354]]
}

***

2.
{
  "formula": "LiZnAs2",
  "functional": "PBE",
  "state": "relaxed",
  "ef_ev_per_atom": -0.116,
  "sg": "No. 12",
  "dos_ef_per_ev_cell": 1.13,
  "cell": [[-1.852, -4.403, -4.239], [4.677, 1.504, 0.375], [1.003, -2.704, 0.710]],
  "species": ["Li", "Zn", "As", "As"],
  "fractional_positions": [[0.000, 0.500, 0.500], [0.500, 0.500, 0.000], [0.000, 0.000, 0.000], [0.500, 0.000, 0.500]]
}

***

Please write out number 2 again, unchanged.
{
  "formula": "LiZnAs2",
  "functional": "PBE",
  "state": "relaxed",
  "ef_ev_per_atom": -0.116,
  "sg": "No. 12",
  "dos_ef_per_ev_cell": 1.13,
  "cell": [[-1.852, -4.403, -4.239], [4.677, 1.504, 0.375], [1.003, -2.704, 0.710]],
  "species": ["Li", "Zn", "As", "As"],
  "fractional_positions": [[0.000, 0.500, 0.500], [0.500, 0.500, 0.000], [0.000, 0.000, 0.000], [0.500, 0.000, 0.500]]
}